1.
A relaxed RbLi2In crystal, computed with PBE.

It has space group R-3m (No. 166, hexagonal axes), with a = 4.9659 Å, b = 4.9659 Å, c = 19.5363 Å, α = 90.00°, β = 90.00° and γ = 120.00°. Symmetry generates all atoms from Rb at (0.0000, 0.0000, 0.0000), Li at (0.0000, 0.0000, 0.1849) and In at (0.0000, 0.0000, 0.5000).

The value obtained for the calculated density is 2.6 g cm⁻³. As for the total DFT energy (no corrections): -23.207 eV/cell. The formation energy from the elements is -0.05 eV per atom.



2.
A relaxed SrScRh crystal, computed with PBE.

It has space group F-43m (No. 216), with a = 6.7636 Å, b = 6.7636 Å, c = 6.7636 Å, α = 90.00°, β = 90.00° and γ = 90.00°. Symmetry generates all atoms from Sr at (0.0000, 0.0000, 0.0000), Sc at (0.2500, 0.2500, 0.2500) and Rh at (0.2500, 0.2500, 0.7500).

The value obtained for the calculated density is 5.1 g cm⁻³. As for the total DFT energy (no corrections): -52.453 eV/cell. The formation energy from the elements is 0.75 eV per atom.



3.
A relaxed ScGa2Au crystal, computed with PBE.

It has space group R-3m (No. 166, hexagonal axes), with a = 4.3070 Å, b = 4.3070 Å, c = 13.9636 Å, α = 90.00°, β = 90.00° and γ = 120.00°. Symmetry generates all atoms from Sc at (0.0000, 0.0000, 0.0000), Ga at (0.0000, 0.0000, 0.2307) and Au at (0.0000, 0.0000, 0.5000).

The value obtained for the calculated density is 8.5 g cm⁻³. As for the total DFT energy (no corrections): -52.435 eV/cell. The formation energy from the elements is -0.45 eV per atom.